Record 1
# NaAg2Pt2 (SCAN, PBEsol geometry)
# D(E_F): 5.8 states/eV/f.u.
# E_form: 0.195 eV per atom
# theoretical density: 10.77 g cm⁻³
data_NaAg2Pt2
_cell_length_a 4.0184
_cell_length_b 4.0184
_cell_length_c 12.0152
_cell_angle_alpha 90.00
_cell_angle_beta 90.00
_cell_angle_gamma 90.00
_symmetry_space_group_name_H-M 'I 4/m m m'
_symmetry_Int_Tables_number 139
_symmetry_space_group_name_Hall '-I 4 2'
loop_
_atom_site_label
_atom_site_fract_x
_atom_site_fract_y
_atom_site_fract_z
Na1 0.0000 0.0000 0.0000
Ag1 0.0000 0.5000 0.2500
Pt1 0.0000 0.0000 0.3975

Record 2
# Sm3S4 (SCAN, PBEsol geometry)
# D(E_F): 3.7 states/eV/f.u.
# uncorrected energy: -26.84 eV/atom
# theoretical density: 6.64 g cm⁻³
data_Sm3S4
_cell_length_a 8.3389
_cell_length_b 8.3389
_cell_length_c 8.3389
_cell_angle_alpha 90.00
_cell_angle_beta 90.00
_cell_angle_gamma 90.00
_symmetry_space_group_name_H-M 'I -4 3 d'
_symmetry_Int_Tables_number 220
_symmetry_space_group_name_Hall 'I -4bd 2c 3'
loop_
_atom_site_label
_atom_site_fract_x
_atom_site_fract_y
_atom_site_fract_z
Sm1 0.0000 0.2500 0.3750
S1 0.0754 0.0754 0.0754

Record 3
# Mn2InTe (SCAN, PBEsol geometry)
# D(E_F): 1.8 states/eV/f.u.
# ΔE to the lowest computed polymorph: 0 meV/atom
# theoretical density: 7.15 g cm⁻³
data_Mn2InTe
_cell_length_a 6.5130
_cell_length_b 3.7896
_cell_length_c 6.9909
_cell_angle_alpha 90.00
_cell_angle_beta 108.54
_cell_angle_gamma 90.00
_symmetry_space_group_name_H-M 'C 1 2/m 1'
_symmetry_Int_Tables_number 12
_symmetry_space_group_name_Hall '-C 2y'
loop_
_atom_site_label
_atom_site_fract_x
_atom_site_fract_y
_atom_site_fract_z
Mn1 0.2498 0.0000 0.2482
In1 0.0000 0.0000 0.5000
Te1 0.0000 0.5000 0.0000

Record 4
# SiNi2Pb (SCAN, PBEsol geometry)
# D(E_F): 2.1 states/eV/f.u.
# ΔE to the lowest computed polymorph: 0 meV/atom
# theoretical density: 9.23 g cm⁻³
data_SiNi2Pb
_cell_length_a 6.5739
_cell_length_b 3.7951
_cell_length_c 5.5337
_cell_angle_alpha 90.00
_cell_angle_beta 113.20
_cell_angle_gamma 90.00
_symmetry_space_group_name_H-M 'C 1 2/m 1'
_symmetry_Int_Tables_number 12
_symmetry_space_group_name_Hall '-C 2y'
loop_
_atom_site_label
_atom_site_fract_x
_atom_site_fract_y
_atom_site_fract_z
Si1 0.0000 0.0000 0.0000
Ni1 0.2073 0.5000 0.1223
Pb1 0.0000 0.5000 0.5000

Look up the D(E_F) of the first one. 5.8 states/eV/f.u.

Please write out number 3 again, unchanged.
# Mn2InTe (SCAN, PBEsol geometry)
# D(E_F): 1.8 states/eV/f.u.
# ΔE to the lowest computed polymorph: 0 meV/atom
# theoretical density: 7.15 g cm⁻³
data_Mn2InTe
_cell_length_a 6.5130
_cell_length_b 3.7896
_cell_length_c 6.9909
_cell_angle_alpha 90.00
_cell_angle_beta 108.54
_cell_angle_gamma 90.00
_symmetry_space_group_name_H-M 'C 1 2/m 1'
_symmetry_Int_Tables_number 12
_symmetry_space_group_name_Hall '-C 2y'
loop_
_atom_site_label
_atom_site_fract_x
_atom_site_fract_y
_atom_site_fract_z
Mn1 0.2498 0.0000 0.2482
In1 0.0000 0.0000 0.5000
Te1 0.0000 0.5000 0.0000

What is the formula in the fourth record? SiNi2Pb

What did the second record say?
# Sm3S4 (SCAN, PBEsol geometry)
# D(E_F): 3.7 states/eV/f.u.
# uncorrected energy: -26.84 eV/atom
# theoretical density: 6.64 g cm⁻³
data_Sm3S4
_cell_length_a 8.3389
_cell_length_b 8.3389
_cell_length_c 8.3389
_cell_angle_alpha 90.00
_cell_angle_beta 90.00
_cell_angle_gamma 90.00
_symmetry_space_group_name_H-M 'I -4 3 d'
_symmetry_Int_Tables_number 220
_symmetry_space_group_name_Hall 'I -4bd 2c 3'
loop_
_atom_site_label
_atom_site_fract_x
_atom_site_fract_y
_atom_site_fract_z
Sm1 0.0000 0.2500 0.3750
S1 0.0754 0.0754 0.0754